(1)
Below is a relaxed TmLuZnRu crystal, with properties calculated at the PBE-GGA level.

Results
Size of the total moment   0.00 μB per cell
Formation energy   -420.9 meV/atom
Calculated total energy   -21.23 eV per cell

Geometry as CIF:
```
data_TmLuZnRu
_cell_length_a 4.830
_cell_length_b 4.830
_cell_length_c 4.830
_cell_angle_alpha 60.00
_cell_angle_beta 60.00
_cell_angle_gamma 60.00
_symmetry_space_group_name_H-M 'P 1'
_symmetry_Int_Tables_number 1
_symmetry_space_group_name_Hall 'P 1'
loop_
_atom_site_label
_atom_site_type_symbol
_atom_site_fract_x
_atom_site_fract_y
_atom_site_fract_z
Zn1 Zn 0.250 0.250 0.250
Lu1 Lu 0.500 0.500 0.500
Ru1 Ru 0.750 0.750 0.750
Tm1 Tm 0.000 0.000 0.000
```

---

(2)
Below is a relaxed LuURu4 crystal, with properties calculated at the PBE-GGA level.

Results
Size of the total moment   1.68 μB per cell
Formation energy   -196.6 meV/atom
Calculated total energy   -54.09 eV per cell

Geometry as CIF:
```
data_LuURu4
_cell_length_a 5.290
_cell_length_b 5.290
_cell_length_c 5.290
_cell_angle_alpha 60.00
_cell_angle_beta 60.00
_cell_angle_gamma 60.00
_symmetry_space_group_name_H-M 'P 1'
_symmetry_Int_Tables_number 1
_symmetry_space_group_name_Hall 'P 1'
loop_
_atom_site_label
_atom_site_type_symbol
_atom_site_fract_x
_atom_site_fract_y
_atom_site_fract_z
Ru1 Ru 0.625 0.625 0.625
Ru2 Ru 0.124 0.625 0.625
Ru3 Ru 0.625 0.124 0.625
Ru4 Ru 0.625 0.625 0.124
U1 U 0.250 0.250 0.250
Lu1 Lu 0.000 0.000 0.000
```

---

(3)
Below is a relaxed LuURu2 crystal, with properties calculated at the PBE-GGA level.

Results
Size of the total moment   1.23 μB per cell
Formation energy   -404.9 meV/atom
Calculated total energy   -35.98 eV per cell

Geometry as CIF:
```
data_LuURu2
_cell_length_a 3.375
_cell_length_b 3.375
_cell_length_c 6.708
_cell_angle_alpha 90.00
_cell_angle_beta 90.00
_cell_angle_gamma 90.00
_symmetry_space_group_name_H-M 'P 1'
_symmetry_Int_Tables_number 1
_symmetry_space_group_name_Hall 'P 1'
loop_
_atom_site_label
_atom_site_type_symbol
_atom_site_fract_x
_atom_site_fract_y
_atom_site_fract_z
Lu1 Lu 0.500 0.500 0.500
Ru1 Ru 0.000 0.000 0.772
Ru2 Ru 0.000 0.000 0.228
U1 U 0.500 0.500 0.000
```

---

(4)
Below is a relaxed LuV4Ru crystal, with properties calculated at the PBE-GGA level.

Results
Size of the total moment   0.00 μB per cell
Formation energy   57.4 meV/atom
Calculated total energy   -49.93 eV per cell

Geometry as CIF:
```
data_LuV4Ru
_cell_length_a 5.078
_cell_length_b 5.078
_cell_length_c 5.078
_cell_angle_alpha 60.00
_cell_angle_beta 60.00
_cell_angle_gamma 60.00
_symmetry_space_group_name_H-M 'P 1'
_symmetry_Int_Tables_number 1
_symmetry_space_group_name_Hall 'P 1'
loop_
_atom_site_label
_atom_site_type_symbol
_atom_site_fract_x
_atom_site_fract_y
_atom_site_fract_z
V1 V 0.625 0.625 0.625
V2 V 0.124 0.625 0.625
V3 V 0.625 0.625 0.124
V4 V 0.625 0.124 0.625
Lu1 Lu 0.000 0.000 0.000
Ru1 Ru 0.250 0.250 0.250
```

---

(5)
Below is a relaxed YLuRu2 crystal, with properties calculated at the PBE-GGA level.

Results
Size of the total moment   0.00 μB per cell
Formation energy   -361.8 meV/atom
Calculated total energy   -30.98 eV per cell

Geometry as CIF:
```
data_YLuRu2
_cell_length_a 4.769
_cell_length_b 4.769
_cell_length_c 4.769
_cell_angle_alpha 60.00
_cell_angle_beta 60.00
_cell_angle_gamma 60.00
_symmetry_space_group_name_H-M 'P 1'
_symmetry_Int_Tables_number 1
_symmetry_space_group_name_Hall 'P 1'
loop_
_atom_site_label
_atom_site_type_symbol
_atom_site_fract_x
_atom_site_fract_y
_atom_site_fract_z
Lu1 Lu 0.750 0.750 0.750
Ru1 Ru 0.500 0.500 0.500
Ru2 Ru 0.000 0.000 0.000
Y1 Y 0.250 0.250 0.250
```

---

(6)
Below is a relaxed YLuRu4 crystal, with properties calculated at the PBE-GGA level.

Results
Size of the total moment   0.00 μB per cell
Formation energy   -326.3 meV/atom
Calculated total energy   -50.05 eV per cell

Geometry as CIF:
```
data_YLuRu4
_cell_length_a 5.312
_cell_length_b 5.312
_cell_length_c 5.312
_cell_angle_alpha 60.00
_cell_angle_beta 60.00
_cell_angle_gamma 60.00
_symmetry_space_group_name_H-M 'P 1'
_symmetry_Int_Tables_number 1
_symmetry_space_group_name_Hall 'P 1'
loop_
_atom_site_label
_atom_site_type_symbol
_atom_site_fract_x
_atom_site_fract_y
_atom_site_fract_z
Ru1 Ru 0.124 0.625 0.625
Ru2 Ru 0.625 0.625 0.124
Ru3 Ru 0.625 0.625 0.625
Ru4 Ru 0.625 0.124 0.625
Y1 Y 0.250 0.250 0.250
Lu1 Lu 0.000 0.000 0.000
```

---

(7)
Below is a relaxed YLu3Ru crystal, with properties calculated at the PBE-GGA level.

Results
Size of the total moment   0.00 μB per cell
Formation energy   -117.4 meV/atom
Calculated total energy   -29.89 eV per cell

Geometry as CIF:
```
data_YLu3Ru
_cell_length_a 5.275
_cell_length_b 5.275
_cell_length_c 5.275
_cell_angle_alpha 90.00
_cell_angle_beta 90.00
_cell_angle_gamma 90.00
_symmetry_space_group_name_H-M 'P 1'
_symmetry_Int_Tables_number 1
_symmetry_space_group_name_Hall 'P 1'
loop_
_atom_site_label
_atom_site_type_symbol
_atom_site_fract_x
_atom_site_fract_y
_atom_site_fract_z
Lu1 Lu 0.500 0.000 0.000
Lu2 Lu 0.000 0.500 0.000
Lu3 Lu 0.000 0.000 0.500
Y1 Y 0.500 0.500 0.500
Ru1 Ru 0.000 0.000 0.000
```

---

(8)
Below is a relaxed YLuRu2 crystal, with properties calculated at the PBE-GGA level.

Results
Size of the total moment   0.00 μB per cell
Formation energy   -369.2 meV/atom
Calculated total energy   -31.01 eV per cell

Geometry as CIF:
```
data_YLuRu2
_cell_length_a 3.370
_cell_length_b 3.370
_cell_length_c 6.747
_cell_angle_alpha 90.00
_cell_angle_beta 90.00
_cell_angle_gamma 90.00
_symmetry_space_group_name_H-M 'P 1'
_symmetry_Int_Tables_number 1
_symmetry_space_group_name_Hall 'P 1'
loop_
_atom_site_label
_atom_site_type_symbol
_atom_site_fract_x
_atom_site_fract_y
_atom_site_fract_z
Ru1 Ru 0.000 0.000 0.758
Ru2 Ru 0.000 0.000 0.242
Lu1 Lu 0.500 0.500 0.000
Y1 Y 0.500 0.500 0.500
```